Entry 1:
! FeRhBr2 (PBE-GGA, relaxed); values from VASP
! Space group: C2/m
! Calculated density: 6.6 g/cm³
! Magnetic moment: 3.7 μB per formula unit
! E_form (uncorrected): 0.527 eV/atom
&SYSTEM
  ibrav = 0, nat = 4, ntyp = 3
/
ATOMIC_SPECIES
Fe 55.84 Fe.upf
Rh 102.91 Rh.upf
Br 79.90 Br.upf
CELL_PARAMETERS angstrom
3.2304 -4.0548 0.0000
3.2304 4.0548 0.0000
-1.5154 0.0000 3.0471
ATOMIC_POSITIONS crystal
Fe 0.0000 0.0000 0.0000
Rh 0.5000 0.5000 0.0000
Br 0.0000 0.5000 0.0000
Br 0.5000 0.0000 0.0000

***

Entry 2:
! Fe2RhBr (PBE-GGA, relaxed); values from VASP
! Space group: P4/mmm
! Calculated density: 8.1 g/cm³
! Magnetic moment: 6.9 μB per formula unit
! E_form (uncorrected): 0.588 eV/atom
&SYSTEM
  ibrav = 0, nat = 4, ntyp = 3
/
ATOMIC_SPECIES
Fe 55.84 Fe.upf
Rh 102.91 Rh.upf
Br 79.90 Br.upf
CELL_PARAMETERS angstrom
4.4818 0.0000 0.0000
0.0000 4.4818 0.0000
0.0000 0.0000 3.0044
ATOMIC_POSITIONS crystal
Fe 0.0000 0.5000 0.0000
Fe 0.5000 0.0000 0.0000
Rh 0.0000 0.0000 0.5000
Br 0.5000 0.5000 0.5000

***

Entry 3:
! Fe2RhBr (PBE-GGA, relaxed); values from VASP
! Space group: I-4m2
! Calculated density: 8.1 g/cm³
! Magnetic moment: 7.0 μB per formula unit
! E_form (uncorrected): 0.653 eV/atom
&SYSTEM
  ibrav = 0, nat = 4, ntyp = 3
/
ATOMIC_SPECIES
Fe 55.84 Fe.upf
Rh 102.91 Rh.upf
Br 79.90 Br.upf
CELL_PARAMETERS angstrom
-1.9108 1.9108 4.1485
1.9108 -1.9108 4.1485
1.9108 1.9108 -4.1485
ATOMIC_POSITIONS crystal
Fe 0.0000 0.0000 0.0000
Fe 0.7500 0.2500 0.5000
Rh 0.2500 0.7500 0.5000
Br 0.5000 0.5000 0.0000

***

Entry 4:
! FeRhBr (PBE-GGA, relaxed); values from VASP
! Space group: P3m1
! Calculated density: 8.3 g/cm³
! Magnetic moment: 3.8 μB per formula unit
! E_form (uncorrected): 0.606 eV/atom
&SYSTEM
  ibrav = 0, nat = 3, ntyp = 3
/
ATOMIC_SPECIES
Fe 55.84 Fe.upf
Rh 102.91 Rh.upf
Br 79.90 Br.upf
CELL_PARAMETERS angstrom
4.2479 0.0000 0.0000
-2.1239 3.6788 0.0000
0.0000 0.0000 3.0724
ATOMIC_POSITIONS crystal
Fe 0.0000 0.0000 0.0000
Rh 0.6667 0.3333 0.4609
Br 0.3333 0.6667 0.8060